Entry 1:
Below is a relaxed structure of Tc2AsP, with properties calculated at the GGA-PBE level.

Properties
**Spin magnetization**: 0.0 μB/cell
**DFT total energy**: -7.87 eV per atom
**ΔE to the lowest computed polymorph**: 131 meV/atom
**Space-group type**: No. 99

Cell lengths 3.175, 3.175, 5.730 Å; angles 90.00, 90.00, 90.00 degrees
Element x y z (fractional)
Tc (0.000, 0.000, 0.936)
As (0.000, 0.000, 0.483)
P (0.500, 0.500, 0.779)
Tc (0.500, 0.500, 0.301)


Entry 2:
Below is a relaxed structure of Tc2AsP, with properties calculated at the GGA-PBE level.

Properties
**Spin magnetization**: 0.0 μB/cell
**DFT total energy**: -8.00 eV per atom
**ΔE to the lowest computed polymorph**: 0 meV/atom
**Space-group type**: No. 44

Cell lengths 6.423, 6.423, 6.423 Å; angles 151.58, 151.67, 40.56 degrees
Element x y z (fractional)
Tc (0.054, 0.054, 0.000)
P (0.206, 0.706, 0.500)
Tc (0.785, 0.285, 0.500)
As (0.455, 0.455, 0.000)


Entry 3:
Below is a relaxed structure of Tc2AsP, with properties calculated at the GGA-PBE level.

Properties
**Spin magnetization**: 0.0 μB/cell
**DFT total energy**: -7.85 eV per atom
**ΔE to the lowest computed polymorph**: 147 meV/atom
**Space-group type**: No. 25

Cell lengths 2.849, 3.862, 5.372 Å; angles 90.00, 90.00, 90.00 degrees
Element x y z (fractional)
P (0.500, 0.500, 0.836)
Tc (0.500, 0.500, 0.269)
As (0.000, 0.000, 0.451)
Tc (0.000, 0.000, 0.943)


Entry 4:
Below is a relaxed structure of TcAsP, with properties calculated at the GGA-PBE level.

Properties
**Spin magnetization**: 0.0 μB/cell
**DFT total energy**: -6.74 eV per atom
**ΔE to the lowest computed polymorph**: 227 meV/atom
**Space-group type**: No. 216

Cell lengths 4.160, 4.160, 4.160 Å; angles 60.00, 60.00, 60.00 degrees
Element x y z (fractional)
P (0.500, 0.500, 0.500)
Tc (0.750, 0.750, 0.750)
As (0.000, 0.000, 0.000)